InAuSe2 | GGA-PBE | relaxed

* raw total energy: -55.602 eV for the cell shown

Geometry as CIF:
```
data_InAuSe2
_cell_length_a 5.5839
_cell_length_b 5.5839
_cell_length_c 11.7615
_cell_angle_alpha 90.00
_cell_angle_beta 90.00
_cell_angle_gamma 90.00
_symmetry_space_group_name_H-M 'I 41/a m d'
_symmetry_Int_Tables_number 141
loop_
_symmetry_equiv_pos_as_xyz
'x,y,z'
'-x,-y,-z'
'-y+1/4,x+3/4,z+1/4'
'y+1/4,-x+3/4,-z+1/4'
'-x+1/2,-y,z+1/2'
'x+1/2,y,-z+1/2'
'y+1/4,-x+1/4,z+3/4'
'-y+1/4,x+1/4,-z+3/4'
'x,-y,-z'
'-x,y,z'
'-y+1/4,-x+1/4,-z+3/4'
'y+1/4,x+1/4,z+3/4'
'-x+1/2,y,-z+1/2'
'x+1/2,-y,z+1/2'
'y+1/4,x+3/4,-z+1/4'
'-y+1/4,-x+3/4,z+1/4'
'x+1/2,y+1/2,z+1/2'
'-x+1/2,-y+1/2,-z+1/2'
'-y+3/4,x+1/4,z+3/4'
'y+3/4,-x+1/4,-z+3/4'
'-x,-y+1/2,z'
'x,y+1/2,-z'
'y+3/4,-x+3/4,z+1/4'
'-y+3/4,x+3/4,-z+1/4'
'x+1/2,-y+1/2,-z+1/2'
'-x+1/2,y+1/2,z+1/2'
'-y+3/4,-x+3/4,-z+1/4'
'y+3/4,x+3/4,z+1/4'
'-x,y+1/2,-z'
'x,-y+1/2,z'
'y+3/4,x+1/4,-z+3/4'
'-y+3/4,-x+1/4,z+3/4'
loop_
_atom_site_label
_atom_site_type_symbol
_atom_site_fract_x
_atom_site_fract_y
_atom_site_fract_z
In1 In 0.0000 0.2500 0.3750
Au1 Au 0.0000 0.2500 0.8750
Se1 Se 0.0000 0.2500 0.1340
```

---

InAuSe2 | GGA-PBE | relaxed

* raw total energy: -26.403 eV for the cell shown

Geometry as CIF:
```
data_InAuSe2
_cell_length_a 3.9851
_cell_length_b 4.1935
_cell_length_c 11.1254
_cell_angle_alpha 90.00
_cell_angle_beta 90.00
_cell_angle_gamma 90.00
_symmetry_space_group_name_H-M 'I m m m'
_symmetry_Int_Tables_number 71
_symmetry_space_group_name_Hall '-I 2 2'
loop_
_atom_site_label
_atom_site_type_symbol
_atom_site_fract_x
_atom_site_fract_y
_atom_site_fract_z
In1 In 0.0000 0.0000 0.0000
Au1 Au 0.0000 0.0000 0.5000
Se1 Se 0.0000 0.0000 0.2675
```

---

InAuSe2 | GGA-PBE | relaxed

* raw total energy: -48.314 eV for the cell shown

Geometry as CIF:
```
data_InAuSe2
_cell_length_a 7.0071
_cell_length_b 7.0071
_cell_length_c 7.0071
_cell_angle_alpha 90.00
_cell_angle_beta 90.00
_cell_angle_gamma 90.00
_symmetry_space_group_name_H-M 'F -4 3 m'
_symmetry_Int_Tables_number 216
_symmetry_space_group_name_Hall 'F -4 2 3'
loop_
_atom_site_label
_atom_site_type_symbol
_atom_site_fract_x
_atom_site_fract_y
_atom_site_fract_z
In1 In 0.0000 0.0000 0.0000
Au1 Au 0.2500 0.2500 0.7500
Se1 Se 0.0000 0.0000 0.5000
Se2 Se 0.2500 0.2500 0.2500
```

---

InAuSe2 | GGA-PBE | relaxed

* raw total energy: -13.004 eV for the cell shown

Geometry as CIF:
```
data_InAuSe2
_cell_length_a 3.7653
_cell_length_b 3.8765
_cell_length_c 7.2715
_cell_angle_alpha 90.00
_cell_angle_beta 90.00
_cell_angle_gamma 90.00
_symmetry_space_group_name_H-M 'P m m m'
_symmetry_Int_Tables_number 47
loop_
_symmetry_equiv_pos_as_xyz
'x,y,z'
'-x,-y,-z'
'-x,-y,z'
'x,y,-z'
'x,-y,-z'
'-x,y,z'
'-x,y,-z'
'x,-y,z'
loop_
_atom_site_label
_atom_site_type_symbol
_atom_site_fract_x
_atom_site_fract_y
_atom_site_fract_z
In1 In 0.0000 0.0000 0.0000
Au1 Au 0.0000 0.5000 0.5000
Se1 Se 0.5000 0.0000 0.5000
Se2 Se 0.5000 0.5000 0.0000
```

---

Magnetic moment: 0.00; 0.00; 0.00; 0.00 (μB per formula unit)